(1)
## YCd4W (PBE)

Data for an optimized crystal structure of YCd4W.

Unit cell a=5.657 b=5.657 c=5.657 alpha=60.00 beta=60.00 gamma=60.00
Element x y z (fractional)
Y 0.000 0.000 0.000
Cd 0.127 0.624 0.624
Cd 0.624 0.127 0.624
Cd 0.624 0.624 0.127
Cd 0.624 0.624 0.624
W 0.250 0.250 0.250

Values from the calculation:
**Energy relative to the elements**: 344 meV per atom
**Space group**: F-43m (216)
**Density**: 9.37 Mg/m³
**VASP energy**: -21.0 eV for the cell shown
**N(E_F)**: 4.98 states/eV/f.u.

***

(2)
## Y3CdW (PBE)

Data for an optimized crystal structure of Y3CdW.

Unit cell a=5.431 b=5.431 c=5.431 alpha=90.00 beta=90.00 gamma=90.00
Element x y z (fractional)
Y 0.000 0.000 0.500
Y 0.000 0.500 0.000
Y 0.500 0.000 0.000
Cd 0.500 0.500 0.500
W 0.000 0.000 0.000

Values from the calculation:
**Energy relative to the elements**: 525 meV per atom
**Space group**: Pm-3m (221)
**Density**: 5.83 Mg/m³
**Offset from the most stable computed form**: 0.0 kJ/mol of atoms
**VASP energy**: -30.6 eV for the cell shown
**N(E_F)**: 7.45 states/eV/f.u.

***

(3)
## YCdW2 (PBE)

Data for an optimized crystal structure of YCdW2.

Unit cell a=5.415 b=5.415 c=5.323 alpha=99.51 beta=99.51 gamma=30.44
Element x y z (fractional)
Y 0.000 0.000 0.000
Cd 0.500 0.500 0.500
W 0.242 0.242 0.745
W 0.758 0.758 0.255

Values from the calculation:
**Energy relative to the elements**: 644 meV per atom
**Space group**: C2/m (12)
**Density**: 12.13 Mg/m³
**VASP energy**: -30.7 eV for the cell shown
**N(E_F)**: 3.21 states/eV/f.u.

***

(4)
## YCdW2 (PBE)

Data for an optimized crystal structure of YCdW2.

Unit cell a=10.705 b=10.705 c=10.705 alpha=15.69 beta=15.69 gamma=15.69
Element x y z (fractional)
Y 0.000 0.000 0.000
Cd 0.758 0.758 0.758
W 0.247 0.247 0.247
W 0.505 0.505 0.505

Values from the calculation:
**Energy relative to the elements**: 620 meV per atom
**Space group**: R3m (160)
**Density**: 12.08 Mg/m³
**VASP energy**: -30.8 eV for the cell shown
**N(E_F)**: 2.22 states/eV/f.u.

***

(5)
## YCdW2 (PBE)

Data for an optimized crystal structure of YCdW2.

Unit cell a=2.909 b=5.121 c=5.348 alpha=90.00 beta=95.54 gamma=90.00
Element x y z (fractional)
Y 0.000 0.000 0.000
Cd 0.500 0.000 0.500
W 0.321 0.500 0.768
W 0.679 0.500 0.232

Values from the calculation:
**Energy relative to the elements**: 605 meV per atom
**Space group**: P2/m (10)
**Density**: 11.91 Mg/m³
**VASP energy**: -30.9 eV for the cell shown
**N(E_F)**: 3.46 states/eV/f.u.

***

(6)
## YCdW2 (PBE)

Data for an optimized crystal structure of YCdW2.

Unit cell a=3.307 b=3.307 c=7.533 alpha=90.00 beta=90.00 gamma=90.00
Element x y z (fractional)
Y 0.000 0.000 0.000
Cd 0.500 0.500 0.308
W 0.000 0.000 0.558
W 0.500 0.500 0.726

Values from the calculation:
**Energy relative to the elements**: 249 meV per atom
**Space group**: P4mm (99)
**Density**: 11.47 Mg/m³
**VASP energy**: -32.3 eV for the cell shown
**N(E_F)**: 3.67 states/eV/f.u.

***

(7)
## YCdW2 (PBE)

Data for an optimized crystal structure of YCdW2.

Unit cell a=4.792 b=4.792 c=4.792 alpha=60.00 beta=60.00 gamma=60.00
Element x y z (fractional)
Y 0.000 0.000 0.000
Cd 0.750 0.750 0.750
W 0.250 0.250 0.250
W 0.500 0.500 0.500

Values from the calculation:
**Energy relative to the elements**: 520 meV per atom
**Space group**: F-43m (216)
**Density**: 12.14 Mg/m³
**VASP energy**: -31.2 eV for the cell shown
**N(E_F)**: 4.69 states/eV/f.u.

***

(8)
## YCd3W (PBE)

Data for an optimized crystal structure of YCd3W.

Unit cell a=5.192 b=5.192 c=5.192 alpha=90.00 beta=90.00 gamma=90.00
Element x y z (fractional)
Y 0.000 0.000 0.000
Cd 0.000 0.500 0.500
Cd 0.500 0.000 0.500
Cd 0.500 0.500 0.000
W 0.500 0.500 0.500

Values from the calculation:
**Energy relative to the elements**: 874 meV per atom
**Space group**: Pm-3m (221)
**Density**: 7.24 Mg/m³
**Offset from the most stable computed form**: 0.0 kJ/mol of atoms
**VASP energy**: -17.8 eV for the cell shown
**N(E_F)**: 6.84 states/eV/f.u.

***

(9)
## YCdW2 (PBE)

Data for an optimized crystal structure of YCdW2.

Unit cell a=2.807 b=4.984 c=5.797 alpha=90.00 beta=90.00 gamma=90.00
Element x y z (fractional)
Y 0.000 0.000 0.000
Cd 0.000 0.000 0.500
W 0.500 0.500 0.225
W 0.500 0.500 0.775

Values from the calculation:
**Energy relative to the elements**: 733 meV per atom
**Space group**: Pmmm (47)
**Density**: 11.65 Mg/m³
**VASP energy**: -30.4 eV for the cell shown
**N(E_F)**: 2.12 states/eV/f.u.

***

(10)
## YCdW2 (PBE)

Data for an optimized crystal structure of YCdW2.

Unit cell a=5.672 b=5.672 c=5.672 alpha=142.60 beta=133.68 gamma=60.99
Element x y z (fractional)
Y 0.000 0.000 0.000
Cd 0.500 0.500 0.000
W 0.252 0.752 0.500
W 0.748 0.248 0.500

Values from the calculation:
**Energy relative to the elements**: 642 meV per atom
**Space group**: Immm (71)
**Density**: 11.92 Mg/m³
**VASP energy**: -30.7 eV for the cell shown
**N(E_F)**: 3.67 states/eV/f.u.

***

(11)
## YCdW2 (PBE)

Data for an optimized crystal structure of YCdW2.

Unit cell a=5.563 b=5.563 c=5.563 alpha=142.48 beta=126.78 gamma=66.93
Element x y z (fractional)
Y 0.000 0.000 0.000
Cd 0.279 0.779 0.500
W 0.550 0.550 0.000
W 0.739 0.239 0.500

Values from the calculation:
**Energy relative to the elements**: 512 meV per atom
**Space group**: Imm2 (44)
**Density**: 11.41 Mg/m³
**VASP energy**: -31.2 eV for the cell shown
**N(E_F)**: 3.38 states/eV/f.u.

***

(12)
## YCdW2 (PBE)

Data for an optimized crystal structure of YCdW2.

Unit cell a=6.279 b=6.279 c=6.279 alpha=100.78 beta=100.78 gamma=128.75
Element x y z (fractional)
Y 0.000 0.000 0.000
Y 0.750 0.250 0.500
Cd 0.250 0.750 0.500
Cd 0.500 0.500 0.000
W 0.155 0.125 0.530
W 0.375 0.845 0.970
W 0.595 0.625 0.470
W 0.875 0.405 0.030

Values from the calculation:
**Energy relative to the elements**: 1275 meV per atom
**Space group**: I-42d (122)
**Density**: 10.86 Mg/m³
**VASP energy**: -56.4 eV for the cell shown
**N(E_F)**: 4.09 states/eV/f.u.

***

(13)
## YCdW2 (PBE)

Data for an optimized crystal structure of YCdW2.

Unit cell a=2.837 b=2.837 c=9.674 alpha=90.00 beta=90.00 gamma=90.00
Element x y z (fractional)
Y 0.000 0.000 0.000
Cd 0.500 0.500 0.280
W 0.000 0.000 0.518
W 0.500 0.500 0.748

Values from the calculation:
**Energy relative to the elements**: 558 meV per atom
**Space group**: P4mm (99)
**Density**: 12.13 Mg/m³
**VASP energy**: -31.1 eV for the cell shown
**N(E_F)**: 3.72 states/eV/f.u.

***

(14)
## YCdW2 (PBE)

Data for an optimized crystal structure of YCdW2.

Unit cell a=3.609 b=3.609 c=6.482 alpha=90.00 beta=90.00 gamma=90.00
Element x y z (fractional)
Y 0.000 0.000 0.000
Cd 0.000 0.000 0.500
W 0.500 0.500 0.314
W 0.500 0.500 0.686

Values from the calculation:
**Energy relative to the elements**: 779 meV per atom
**Space group**: P4/mmm (123)
**Density**: 11.19 Mg/m³
**VASP energy**: -30.2 eV for the cell shown
**N(E_F)**: 3.10 states/eV/f.u.

***

(15)
## YCdW2 (PBE)

Data for an optimized crystal structure of YCdW2.

Unit cell a=2.975 b=4.214 c=6.525 alpha=90.00 beta=97.38 gamma=90.00
Element x y z (fractional)
Y 0.000 0.000 0.000
Cd 0.572 0.500 0.289
W 0.132 0.000 0.538
W 0.470 0.500 0.728

Values from the calculation:
**Energy relative to the elements**: 411 meV per atom
**Space group**: Pm (6)
**Density**: 11.65 Mg/m³
**VASP energy**: -31.6 eV for the cell shown
**N(E_F)**: 3.00 states/eV/f.u.

***

(16)
## YCdW (PBE)

Data for an optimized crystal structure of YCdW.

Unit cell a=7.478 b=7.478 c=7.478 alpha=157.11 beta=157.11 gamma=32.59
Element x y z (fractional)
Y 0.000 0.000 0.000
Cd 0.683 0.683 0.000
W 0.337 0.337 0.000

Values from the calculation:
**Energy relative to the elements**: 432 meV per atom
**Space group**: I4mm (107)
**Density**: 10.12 Mg/m³
**Offset from the most stable computed form**: 0.0 kJ/mol of atoms
**VASP energy**: -19.0 eV for the cell shown
**N(E_F)**: 2.28 states/eV/f.u.

***

(17)
## YCdW2 (PBE)

Data for an optimized crystal structure of YCdW2.

Unit cell a=2.935 b=2.935 c=9.857 alpha=90.00 beta=90.00 gamma=110.99
Element x y z (fractional)
Y 0.000 0.000 0.000
Cd 0.500 0.500 0.714
W 0.000 0.000 0.462
W 0.500 0.500 0.258

Values from the calculation:
**Energy relative to the elements**: 387 meV per atom
**Space group**: Cmm2 (35)
**Density**: 11.92 Mg/m³
**VASP energy**: -31.7 eV for the cell shown
**N(E_F)**: 3.44 states/eV/f.u.

***

(18)
## ZnCdW2 (PBE)

Data for an optimized crystal structure of ZnCdW2.

Unit cell a=5.204 b=5.204 c=5.204 alpha=142.41 beta=127.16 gamma=66.64
Element x y z (fractional)
Zn 0.000 0.000 0.000
Cd 0.247 0.747 0.500
W 0.522 0.522 0.000
W 0.742 0.242 0.500

Values from the calculation:
**Energy relative to the elements**: 538 meV per atom
**Space group**: Imm2 (44)
**Density**: 13.41 Mg/m³
**Offset from the most stable computed form**: 25.2 kJ/mol of atoms
**VASP energy**: -25.9 eV for the cell shown
**N(E_F)**: 1.82 states/eV/f.u.

***

(19)
## Zn2CdW (PBE)

Data for an optimized crystal structure of Zn2CdW.

Unit cell a=2.996 b=4.578 c=4.840 alpha=90.00 beta=90.00 gamma=90.00
Element x y z (fractional)
Zn 0.000 0.000 0.000
Zn 0.500 0.000 0.500
Cd 0.000 0.500 0.500
W 0.500 0.500 0.000

Values from the calculation:
**Energy relative to the elements**: 502 meV per atom
**Space group**: Pmmm (47)
**Density**: 10.69 Mg/m³
**VASP energy**: -14.4 eV for the cell shown
**N(E_F)**: 1.95 states/eV/f.u.

***

(20)
## Zn2CdW (PBE)

Data for an optimized crystal structure of Zn2CdW.

Unit cell a=5.373 b=5.373 c=2.727 alpha=101.70 beta=101.70 gamma=115.33
Element x y z (fractional)
Zn 0.000 0.500 0.000
Zn 0.500 0.000 0.000
Cd 0.000 0.000 0.500
W 0.500 0.500 0.500

Values from the calculation:
**Energy relative to the elements**: 342 meV per atom
**Space group**: C2/m (12)
**Density**: 10.77 Mg/m³
**VASP energy**: -15.0 eV for the cell shown
**N(E_F)**: 1.14 states/eV/f.u.

***

(21)
## Zn2CdW (PBE)

Data for an optimized crystal structure of Zn2CdW.

Unit cell a=4.887 b=4.887 c=4.887 alpha=130.66 beta=130.66 gamma=72.35
Element x y z (fractional)
Zn 0.250 0.750 0.500
Zn 0.750 0.250 0.500
Cd 0.000 0.000 0.000
W 0.500 0.500 0.000

Values from the calculation:
**Energy relative to the elements**: 583 meV per atom
**Space group**: I4/mmm (139)
**Density**: 10.80 Mg/m³
**VASP energy**: -14.1 eV for the cell shown
**N(E_F)**: 2.28 states/eV/f.u.

***

(22)
## ZnCd2W (PBE)

Data for an optimized crystal structure of ZnCd2W.

Unit cell a=9.901 b=9.901 c=9.901 alpha=17.06 beta=17.06 gamma=17.06
Element x y z (fractional)
Zn 0.000 0.000 0.000
Cd 0.250 0.250 0.250
Cd 0.750 0.750 0.750
W 0.500 0.500 0.500

Values from the calculation:
**Energy relative to the elements**: 456 meV per atom
**Space group**: R-3m (166)
**Density**: 10.80 Mg/m³
**VASP energy**: -14.2 eV for the cell shown
**N(E_F)**: 3.57 states/eV/f.u.

***

(23)
## ZnCd2W (PBE)

Data for an optimized crystal structure of ZnCd2W.

Unit cell a=4.051 b=4.051 c=4.282 alpha=90.00 beta=90.00 gamma=90.00
Element x y z (fractional)
Zn 0.000 0.000 0.000
Cd 0.000 0.500 0.500
Cd 0.500 0.000 0.500
W 0.500 0.500 0.000

Values from the calculation:
**Energy relative to the elements**: 501 meV per atom
**Space group**: P4/mmm (123)
**Density**: 11.20 Mg/m³
**VASP energy**: -14.1 eV for the cell shown
**N(E_F)**: 1.98 states/eV/f.u.

***

(24)
## ZnCdW2 (PBE)

Data for an optimized crystal structure of ZnCdW2.

Unit cell a=2.775 b=2.775 c=9.330 alpha=90.00 beta=90.00 gamma=109.17
Element x y z (fractional)
Zn 0.000 0.000 0.000
Cd 0.500 0.500 0.264
W 0.000 0.000 0.533
W 0.500 0.500 0.766

Values from the calculation:
**Energy relative to the elements**: 277 meV per atom
**Space group**: Cmm2 (35)
**Density**: 13.35 Mg/m³
**Offset from the most stable computed form**: 0.0 kJ/mol of atoms
**VASP energy**: -27.0 eV for the cell shown
**N(E_F)**: 1.86 states/eV/f.u.

***

(25)
## Zn2CdW (PBE)

Data for an optimized crystal structure of Zn2CdW.

Unit cell a=9.685 b=9.685 c=9.685 alpha=17.05 beta=17.05 gamma=17.05
Element x y z (fractional)
Zn 0.243 0.243 0.243
Zn 0.757 0.757 0.757
Cd 0.000 0.000 0.000
W 0.500 0.500 0.500

Values from the calculation:
**Energy relative to the elements**: 262 meV per atom
**Space group**: R-3m (166)
**Density**: 10.41 Mg/m³
**VASP energy**: -15.4 eV for the cell shown
**N(E_F)**: 1.28 states/eV/f.u.

***

(26)
## ZnCd2W (PBE)

Data for an optimized crystal structure of ZnCd2W.

Unit cell a=2.828 b=2.828 c=9.293 alpha=90.00 beta=90.00 gamma=103.06
Element x y z (fractional)
Zn 0.000 0.000 0.000
Cd 0.000 0.000 0.468
Cd 0.500 0.500 0.750
W 0.500 0.500 0.217

Values from the calculation:
**Energy relative to the elements**: 332 meV per atom
**Space group**: Cmm2 (35)
**Density**: 10.87 Mg/m³
**VASP energy**: -14.7 eV for the cell shown
**N(E_F)**: 1.30 states/eV/f.u.

***

(27)
## Zn2CdW (PBE)

Data for an optimized crystal structure of Zn2CdW.

Unit cell a=5.398 b=5.398 c=5.028 alpha=114.78 beta=114.78 gamma=29.76
Element x y z (fractional)
Zn 0.000 0.000 0.000
Zn 0.746 0.746 0.426
Cd 0.247 0.247 0.920
W 0.492 0.492 0.485

Values from the calculation:
**Energy relative to the elements**: 315 meV per atom
**Space group**: Cm (8)
**Density**: 10.82 Mg/m³
**VASP energy**: -15.2 eV for the cell shown
**N(E_F)**: 1.41 states/eV/f.u.

***

(28)
## ZnCdW2 (PBE)

Data for an optimized crystal structure of ZnCdW2.

Unit cell a=2.729 b=2.729 c=9.031 alpha=90.00 beta=90.00 gamma=90.00
Element x y z (fractional)
Zn 0.000 0.000 0.000
Cd 0.500 0.500 0.258
W 0.000 0.000 0.522
W 0.500 0.500 0.775

Values from the calculation:
**Energy relative to the elements**: 419 meV per atom
**Space group**: P4mm (99)
**Density**: 13.47 Mg/m³
**Offset from the most stable computed form**: 13.7 kJ/mol of atoms
**VASP energy**: -26.4 eV for the cell shown
**N(E_F)**: 2.16 states/eV/f.u.

***

(29)
## ZnCd2W (PBE)

Data for an optimized crystal structure of ZnCd2W.

Unit cell a=5.254 b=5.254 c=2.863 alpha=90.07 beta=90.07 gamma=114.63
Element x y z (fractional)
Zn 0.000 0.000 0.000
Cd 0.000 0.500 0.500
Cd 0.500 0.000 0.500
W 0.500 0.500 0.000

Values from the calculation:
**Energy relative to the elements**: 415 meV per atom
**Space group**: C2/m (12)
**Density**: 10.96 Mg/m³
**VASP energy**: -14.4 eV for the cell shown
**N(E_F)**: 1.09 states/eV/f.u.

***

(30)
## ZnCd2W (PBE)

Data for an optimized crystal structure of ZnCd2W.

Unit cell a=5.422 b=5.422 c=5.422 alpha=137.54 beta=137.54 gamma=61.61
Element x y z (fractional)
Zn 0.000 0.000 0.000
Cd 0.250 0.750 0.500
Cd 0.750 0.250 0.500
W 0.500 0.500 0.000

Values from the calculation:
**Energy relative to the elements**: 633 meV per atom
**Space group**: I4/mmm (139)
**Density**: 10.96 Mg/m³
**VASP energy**: -13.5 eV for the cell shown
**N(E_F)**: 2.06 states/eV/f.u.